# P2WBrCl PBE relaxed
data_P2WBrCl
_symmetry_space_group_name_H-M 'P 4/m m m'
_symmetry_Int_Tables_number 123
_symmetry_space_group_name_Hall '-P 4 2'
_cell_length_a 4.743
_cell_length_b 4.743
_cell_length_c 4.811
_cell_angle_alpha 90.00
_cell_angle_beta 90.00
_cell_angle_gamma 90.00
loop_
_atom_site_label
_atom_site_type_symbol
_atom_site_fract_x
_atom_site_fract_y
_atom_site_fract_z
P1 P 0.000 0.500 0.000
W1 W 0.000 0.000 0.000
Br1 Br 0.500 0.500 0.500
Cl1 Cl 0.000 0.000 0.500
# Polymorph energy (0 for the lowest one) (eV/atom): 0.0000
# Volume (A^3/atom): 21.6
# Calculated density (g cm⁻³): 5.54
# Calculated total energy (eV per formula unit): -25.94